Y4Ho15Sc: optimized geometry, PBE-GGA.

The structure in CIF format:
```
data_Y4Ho15Sc
_chemical_formula_sum 'Y4 Ho15 Sc1'
_cell_length_a 4.9830
_cell_length_b 4.9830
_cell_length_c 24.8658
_cell_angle_alpha 90.00
_cell_angle_beta 90.00
_cell_angle_gamma 90.00
_space_group_name_H-M_alt 'P 1'
_space_group_IT_number 1
loop_
_space_group_symop_operation_xyz
'x,y,z'
loop_
_atom_site_label
_atom_site_type_symbol
_atom_site_fract_x
_atom_site_fract_y
_atom_site_fract_z
Y1 Y 0.0000 0.0000 0.1009
Y2 Y 0.0000 0.0000 0.3023
Y3 Y 0.0000 0.0000 0.6977
Y4 Y 0.0000 0.0000 0.8991
Ho1 Ho 0.0000 0.5000 0.0000
Ho2 Ho 0.0000 0.5000 0.2018
Ho3 Ho 0.0000 0.5000 0.4037
Ho4 Ho 0.0000 0.5000 0.5963
Ho5 Ho 0.0000 0.5000 0.7982
Ho6 Ho 0.5000 0.0000 0.0000
Ho7 Ho 0.5000 0.0000 0.2018
Ho8 Ho 0.5000 0.0000 0.4037
Ho9 Ho 0.5000 0.0000 0.5963
Ho10 Ho 0.5000 0.0000 0.7982
Ho11 Ho 0.5000 0.5000 0.1009
Ho12 Ho 0.5000 0.5000 0.3028
Ho13 Ho 0.5000 0.5000 0.5000
Ho14 Ho 0.5000 0.5000 0.6972
Ho15 Ho 0.5000 0.5000 0.8991
Sc1 Sc 0.0000 0.0000 0.5000
```

- Calculated volume: 617 Å³/cell
- Energy: -5.016 eV per atom


Y2Ho8Sc: optimized geometry, PBE-GGA.

The structure in CIF format:
```
data_Y2Ho8Sc
_chemical_formula_sum 'Y2 Ho8 Sc1'
_cell_length_a 5.1114
_cell_length_b 5.1114
_cell_length_c 13.4321
_cell_angle_alpha 90.00
_cell_angle_beta 90.00
_cell_angle_gamma 90.00
_space_group_name_H-M_alt 'P 1'
_space_group_IT_number 1
loop_
_space_group_symop_operation_xyz
'x,y,z'
loop_
_atom_site_label
_atom_site_type_symbol
_atom_site_fract_x
_atom_site_fract_y
_atom_site_fract_z
Y1 Y 0.0000 0.0000 0.1899
Y2 Y 0.0000 0.0000 0.8101
Ho1 Ho 0.0000 0.5000 0.0000
Ho2 Ho 0.0000 0.5000 0.3645
Ho3 Ho 0.0000 0.5000 0.6355
Ho4 Ho 0.5000 0.0000 0.0000
Ho5 Ho 0.5000 0.0000 0.3645
Ho6 Ho 0.5000 0.0000 0.6355
Ho7 Ho 0.5000 0.5000 0.1799
Ho8 Ho 0.5000 0.5000 0.8201
Sc1 Sc 0.0000 0.0000 0.5000
```

- Calculated volume: 351 Å³/cell
- Energy: -4.900 eV per atom
- Energy relative to the lowest polymorph listed for this composition: 6 meV per atom


Y5Ho5Sc: optimized geometry, PBE-GGA.

The structure in CIF format:
```
data_Y5Ho5Sc
_chemical_formula_sum 'Y5 Ho5 Sc1'
_cell_length_a 9.8055
_cell_length_b 9.8055
_cell_length_c 9.8055
_cell_angle_alpha 145.26
_cell_angle_beta 138.86
_cell_angle_gamma 54.92
_space_group_name_H-M_alt 'P 1'
_space_group_IT_number 1
loop_
_space_group_symop_operation_xyz
'x,y,z'
loop_
_atom_site_label
_atom_site_type_symbol
_atom_site_fract_x
_atom_site_fract_y
_atom_site_fract_z
Y1 Y 0.0000 0.0000 0.0000
Y2 Y 0.0683 0.3239 0.7444
Y3 Y 0.4205 0.6761 0.7444
Y4 Y 0.5795 0.3239 0.2556
Y5 Y 0.9316 0.6761 0.2556
Ho1 Ho 0.1698 0.1698 0.0000
Ho2 Ho 0.3768 0.8768 0.5000
Ho3 Ho 0.5000 0.5000 0.0000
Ho4 Ho 0.6232 0.1232 0.5000
Ho5 Ho 0.8302 0.8302 0.0000
Sc1 Sc 0.0000 0.5000 0.5000
```

- Calculated volume: 351 Å³/cell
- Energy: -5.316 eV per atom


Y8Ho6Sc: optimized geometry, PBE-GGA.

The structure in CIF format:
```
data_Y8Ho6Sc
_chemical_formula_sum 'Y8 Ho6 Sc1'
_cell_length_a 8.0799
_cell_length_b 8.0799
_cell_length_c 8.0799
_cell_angle_alpha 73.73
_cell_angle_beta 73.73
_cell_angle_gamma 73.73
_space_group_name_H-M_alt 'P 1'
_space_group_IT_number 1
loop_
_space_group_symop_operation_xyz
'x,y,z'
loop_
_atom_site_label
_atom_site_type_symbol
_atom_site_fract_x
_atom_site_fract_y
_atom_site_fract_z
Y1 Y 0.0907 0.0907 0.0907
Y2 Y 0.1493 0.2684 0.5681
Y3 Y 0.2684 0.5681 0.1493
Y4 Y 0.4319 0.8507 0.7316
Y5 Y 0.5681 0.1493 0.2684
Y6 Y 0.7316 0.4319 0.8507
Y7 Y 0.8507 0.7316 0.4319
Y8 Y 0.9093 0.9093 0.9093
Ho1 Ho 0.1198 0.5623 0.7855
Ho2 Ho 0.2145 0.8802 0.4377
Ho3 Ho 0.4377 0.2145 0.8802
Ho4 Ho 0.5623 0.7855 0.1198
Ho5 Ho 0.7855 0.1198 0.5623
Ho6 Ho 0.8802 0.4377 0.2145
Sc1 Sc 0.5000 0.5000 0.5000
```

- Calculated volume: 474 Å³/cell
- Energy: -5.513 eV per atom
- Energy relative to the lowest polymorph listed for this composition: 44 meV per atom